Compound: YTlAg2
Source: Alexandria
Functional: SCAN
Structure: single point on PBEsol structure

Total magnetic moment = 0.00 μB per formula unit
Energy above the lowest structure with this stoichiometry = 104 meV per atom
E_form = -0.201 eV per atom

Unit cell a=4.4881 b=4.4881 c=4.2815 alpha=90.00 beta=90.00 gamma=90.00
Atoms (fractional coordinates):
Y1 0.0000 0.0000 0.0000
Tl1 0.5000 0.5000 0.0000
Ag1 0.0000 0.5000 0.5000
Ag2 0.5000 0.0000 0.5000

***

Compound: YTlAg2
Source: Alexandria
Functional: SCAN
Structure: single point on PBEsol structure

Total magnetic moment = 0.03 μB per formula unit
Energy above the lowest structure with this stoichiometry = 122 meV per atom
E_form = -0.183 eV per atom

Unit cell a=3.5084 b=3.5084 c=6.9295 alpha=90.00 beta=90.00 gamma=90.00
Atoms (fractional coordinates):
Y1 0.0000 0.0000 0.0000
Tl1 0.5000 0.5000 0.7000
Ag1 0.0000 0.0000 0.4628
Ag2 0.5000 0.5000 0.2573

***

Compound: Y2TlAg
Source: Alexandria
Functional: SCAN
Structure: single point on PBEsol structure

Total magnetic moment = 0.00 μB per formula unit
Energy above the lowest structure with this stoichiometry = 0 meV per atom
E_form = -0.558 eV per atom

Unit cell a=5.1781 b=5.1781 c=5.1781 alpha=60.00 beta=60.00 gamma=60.00
Atoms (fractional coordinates):
Y1 0.2500 0.2500 0.2500
Y2 0.7500 0.7500 0.7500
Tl1 0.0000 0.0000 0.0000
Ag1 0.5000 0.5000 0.5000

***

Compound: YTl2Ag
Source: Alexandria
Functional: SCAN
Structure: single point on PBEsol structure

Total magnetic moment = 0.00 μB per formula unit
E_form = -0.250 eV per atom

Unit cell a=5.5508 b=5.5508 c=5.5508 alpha=131.62 beta=131.62 gamma=70.83
Atoms (fractional coordinates):
Y1 0.0000 0.0000 0.0000
Tl1 0.2500 0.7500 0.5000
Tl2 0.5000 0.5000 0.0000
Ag1 0.7500 0.2500 0.5000

***

Compound: YTl2Ag
Source: Alexandria
Functional: SCAN
Structure: single point on PBEsol structure

Total magnetic moment = 0.00 μB per formula unit
E_form = -0.189 eV per atom

Unit cell a=3.5124 b=3.5124 c=7.4392 alpha=90.00 beta=90.00 gamma=90.00
Atoms (fractional coordinates):
Y1 0.0000 0.0000 0.0000
Tl1 0.5000 0.5000 0.2743
Tl2 0.5000 0.5000 0.7257
Ag1 0.0000 0.0000 0.5000

***

Compound: YTlAg4
Source: Alexandria
Functional: SCAN
Structure: single point on PBEsol structure

Total magnetic moment = 0.00 μB per formula unit
E_form = -0.209 eV per atom

Unit cell a=5.4936 b=5.4936 c=5.4936 alpha=60.00 beta=60.00 gamma=60.00
Atoms (fractional coordinates):
Y1 0.0000 0.0000 0.0000
Tl1 0.2500 0.2500 0.2500
Ag1 0.1246 0.6251 0.6251
Ag2 0.6251 0.1246 0.6251
Ag3 0.6251 0.6251 0.1246
Ag4 0.6251 0.6251 0.6251

***

- Which of these has the highest total magnetic moment?
  number 2

***

- Which value of total magnetic moment does entry 1 give?
  0.00 μB per formula unit

***

- What is the E_form in the second record?
  -0.183 eV per atom